[1]
# TaSbPb2 | the Alexandria database | GGA-PBEsol | optimized geometry
data_TaSbPb2
_chemical_formula_sum 'Ta1 Sb1 Pb2'
_cell_length_a 5.314
_cell_length_b 5.314
_cell_length_c 7.376
_cell_angle_alpha 111.53
_cell_angle_beta 111.53
_cell_angle_gamma 34.07
_space_group_name_H-M_alt 'P 1'
_space_group_IT_number 1
loop_
_space_group_symop_operation_xyz
'x,y,z'
loop_
_atom_site_label
_atom_site_fract_x
_atom_site_fract_y
_atom_site_fract_z
Ta1 0.000 0.000 0.000
Sb1 0.274 0.274 0.007
Pb1 0.452 0.452 0.632
Pb2 0.637 0.637 0.376
# - raw formation energy (meV/atom) = 290
# - total moment (μB/f.u.) = 0.00
# - uncorrected energy (eV per atom) = -5.986

[2]
# YSbP2 | the Alexandria database | GGA-PBEsol | optimized geometry
data_YSbP2
_chemical_formula_sum 'Y1 Sb1 P2'
_cell_length_a 4.906
_cell_length_b 4.906
_cell_length_c 4.906
_cell_angle_alpha 60.00
_cell_angle_beta 60.00
_cell_angle_gamma 60.00
_space_group_name_H-M_alt 'P 1'
_space_group_IT_number 1
loop_
_space_group_symop_operation_xyz
'x,y,z'
loop_
_atom_site_label
_atom_site_fract_x
_atom_site_fract_y
_atom_site_fract_z
Y1 0.000 0.000 0.000
Sb1 0.250 0.250 0.250
P1 0.500 0.500 0.500
P2 0.750 0.750 0.750
# - raw formation energy (meV/atom) = 32
# - total moment (μB/f.u.) = 0.00
# - uncorrected energy (eV per atom) = -5.709

[3]
# Si2AsPt | the Alexandria database | GGA-PBEsol | optimized geometry
data_Si2AsPt
_chemical_formula_sum 'Si2 As1 Pt1'
_cell_length_a 2.790
_cell_length_b 3.217
_cell_length_c 6.870
_cell_angle_alpha 90.00
_cell_angle_beta 90.00
_cell_angle_gamma 90.00
_space_group_name_H-M_alt 'P 1'
_space_group_IT_number 1
loop_
_space_group_symop_operation_xyz
'x,y,z'
loop_
_atom_site_label
_atom_site_fract_x
_atom_site_fract_y
_atom_site_fract_z
Si1 0.000 0.000 0.226
Si2 0.000 0.000 0.774
As1 0.500 0.500 0.500
Pt1 0.500 0.500 0.000
# - raw formation energy (meV/atom) = 16
# - total moment (μB/f.u.) = 0.00
# - uncorrected energy (eV per atom) = -5.875

[4]
# Be2InCl | the Alexandria database | GGA-PBEsol | optimized geometry
data_Be2InCl
_chemical_formula_sum 'Be2 In1 Cl1'
_cell_length_a 4.758
_cell_length_b 4.758
_cell_length_c 2.888
_cell_angle_alpha 90.00
_cell_angle_beta 90.00
_cell_angle_gamma 90.07
_space_group_name_H-M_alt 'P 1'
_space_group_IT_number 1
loop_
_space_group_symop_operation_xyz
'x,y,z'
loop_
_atom_site_label
_atom_site_fract_x
_atom_site_fract_y
_atom_site_fract_z
Be1 0.000 0.500 0.000
Be2 0.500 0.000 0.000
In1 0.000 0.000 0.500
Cl1 0.500 0.500 0.500
# - raw formation energy (meV/atom) = 593
# - E above lowest polymorph (kJ per mole of atoms) = 28.3
# - total moment (μB/f.u.) = 0.00
# - uncorrected energy (eV per atom) = -2.655